Material: Zn2HgBi
Method: DFT, PBE-GGA
State: relaxed

Cell: 4.689 4.689 9.574 Å, 75.83 75.83 90.00°
Fractional positions:
Hg 0.500 0.500 0.000
Hg 0.250 0.750 0.500
Zn 0.375 0.446 0.750
Zn 0.554 0.125 0.250
Zn 0.196 0.625 0.250
Zn 0.875 0.804 0.750
Bi 0.750 0.250 0.500
Bi 0.000 0.000 0.000

Properties
- Energy relative to the elements: 0.151 eV/atom
- SG: I-42d
- Total magnetic moment: 0.000 μB/f.u.